Compound: Ba2SmCo2O6
Source: the Alexandria database
Functional: GGA+U
Structure: relaxed

POSCAR file:
```
Ba2SmCo2O6
1.0
3.0589 1.7661 5.8234
-3.0589 1.7661 5.8234
0.0000 -3.5321 5.8234
Ba Sm Co O
2 1 2 6
direct
0.2151 0.2151 0.2151 Ba
0.7849 0.7849 0.7849 Ba
0.0000 0.0000 0.0000 Sm
0.4377 0.4377 0.4377 Co
0.5623 0.5623 0.5623 Co
0.2398 0.7484 0.7484 O
0.2516 0.2516 0.7602 O
0.2516 0.7602 0.2516 O
0.7484 0.2398 0.7484 O
0.7484 0.7484 0.2398 O
0.7602 0.2516 0.2516 O
```

Crystal system = trigonal
SG = R-3m
E = -71.1 eV/cell